Computed, not measured: an optimized crystal structure of NpAgSbN at the PBE-GGA level of DFT.

Lattice parameters (Å, degrees): 3.961 3.961 9.998 90.00 90.00 90.00
Each line ends with the local moment (μB).
Atoms (fractional coordinates):
Np: 0.000 0.500 0.891  2.94
Np: 0.500 0.000 0.109  2.94
Ag: 0.000 0.000 0.500  -0.03
Ag: 0.500 0.500 0.500  -0.03
Sb: 0.500 0.000 0.712  -0.08
Sb: 0.000 0.500 0.288  -0.08
N: 0.500 0.500 0.000  -0.18
N: 0.000 0.000 0.000  -0.18

DFT total energy: -61.08 eV/cell